First-principles (PBE) data for a relaxed CrIn3Sn crystal, as listed in the Alexandria database.

Values from the calculation:
Space-group type ... No. 221
E above lowest polymorph ... 0 meV per atom

a b c (Å): 5.1926 5.1926 5.1926
angles (deg): 90.00 90.00 90.00
Closest atoms and distances in Å follow each position.
Fractional coordinates of all 5 atoms:
Cr 0.0000 0.0000 0.0000  6 In 2.60
In 0.0000 0.0000 0.5000  2 Cr 2.60
In 0.0000 0.5000 0.0000  2 Cr 2.60
In 0.5000 0.0000 0.0000  2 Cr 2.60
Sn 0.5000 0.5000 0.5000  12 In 3.67

---

First-principles (PBE) data for a relaxed CrInSn2 crystal, as listed in the Alexandria database.

Values from the calculation:
Space-group type ... No. 122

a b c (Å): 4.4404 4.4404 20.3064
angles (deg): 90.00 90.00 90.00
Closest atoms and distances in Å follow each position.
Fractional coordinates of all 16 atoms:
Cr 0.0000 0.0000 0.0000  4 Sn 2.96, 4 In 3.14
Cr 0.0000 0.5000 0.2500  4 Sn 2.96, 4 In 3.14
Cr 0.5000 0.0000 0.7500  4 Sn 2.96, 4 In 3.14
Cr 0.5000 0.5000 0.5000  4 Sn 2.96, 4 In 3.14
In 0.0000 0.0000 0.5000  4 Sn 3.01, 4 Cr 3.14
In 0.0000 0.5000 0.7500  4 Sn 3.01, 4 Cr 3.14
In 0.5000 0.0000 0.2500  4 Sn 3.01, 4 Cr 3.14
In 0.5000 0.5000 0.0000  4 Sn 3.01, 4 Cr 3.14
Sn 0.2333 0.2500 0.1250  2 Cr 2.96, 2 In 3.01, 4 Sn 3.04-3.25
Sn 0.2500 0.7333 0.3750  2 Cr 2.96, 2 In 3.01, 4 Sn 3.04-3.25
Sn 0.2500 0.7667 0.8750  2 Cr 2.96, 2 In 3.01, 4 Sn 3.04-3.25
Sn 0.2667 0.2500 0.6250  2 Cr 2.96, 2 In 3.01, 4 Sn 3.04-3.25
Sn 0.7333 0.7500 0.6250  2 Cr 2.96, 2 In 3.01, 4 Sn 3.04-3.25
Sn 0.7500 0.2333 0.8750  2 Cr 2.96, 2 In 3.01, 4 Sn 3.04-3.25
Sn 0.7500 0.2667 0.3750  2 Cr 2.96, 2 In 3.01, 4 Sn 3.04-3.25
Sn 0.7667 0.7500 0.1250  2 Cr 2.96, 2 In 3.01, 4 Sn 3.04-3.25

---

First-principles (PBE) data for a relaxed CrIn2Sn2 crystal, as listed in the Alexandria database.

Values from the calculation:
Space-group type ... No. 127

a b c (Å): 7.2497 7.2497 4.9321
angles (deg): 90.00 90.00 90.00
Closest atoms and distances in Å follow each position.
Fractional coordinates of all 10 atoms:
Cr 0.0000 0.0000 0.0000  4 Sn 2.77
Cr 0.5000 0.5000 0.0000  4 Sn 2.77
In 0.1683 0.3317 0.5000  6 Sn 3.11-3.36, 1 In 3.45
In 0.3317 0.8317 0.5000  6 Sn 3.11-3.36, 1 In 3.45
In 0.6683 0.1683 0.5000  6 Sn 3.11-3.36, 1 In 3.45
In 0.8317 0.6683 0.5000  6 Sn 3.11-3.36, 1 In 3.45
Sn 0.1465 0.6465 0.0000  2 Cr 2.77, 1 Sn 3.00
Sn 0.3535 0.1465 0.0000  2 Cr 2.77, 1 Sn 3.00
Sn 0.6465 0.8535 0.0000  2 Cr 2.77, 1 Sn 3.00
Sn 0.8535 0.3535 0.0000  2 Cr 2.77, 1 Sn 3.00

---

First-principles (PBE) data for a relaxed CrInSn2 crystal, as listed in the Alexandria database.

Values from the calculation:
Space-group type ... No. 166

a b c (Å): 3.3664 3.3664 29.0869
angles (deg): 90.00 90.00 120.00
Closest atoms and distances in Å follow each position.
Fractional coordinates of all 12 atoms:
Cr 0.0000 0.0000 0.0000  6 Sn 2.87
Cr 0.3333 0.6667 0.6667  6 Sn 2.87
Cr 0.6667 0.3333 0.3333  6 Sn 2.87
In 0.0000 0.0000 0.5000  6 Sn 3.36, 6 In 3.37
In 0.3333 0.6667 0.1667  6 Sn 3.36, 6 In 3.37
In 0.6667 0.3333 0.8333  6 Sn 3.36, 6 In 3.37
Sn 0.0000 0.0000 0.2608  3 Cr 2.87
Sn 0.0000 0.0000 0.7392  3 Cr 2.87
Sn 0.3333 0.6667 0.4059  3 Cr 2.87
Sn 0.3333 0.6667 0.9274  3 Cr 2.87
Sn 0.6667 0.3333 0.0726  3 Cr 2.87
Sn 0.6667 0.3333 0.5941  3 Cr 2.87

---

First-principles (PBE) data for a relaxed CrInSn crystal, as listed in the Alexandria database.

Values from the calculation:
Space-group type ... No. 139

a b c (Å): 3.0454 3.0454 28.4195
angles (deg): 90.00 90.00 90.00
Closest atoms and distances in Å follow each position.
Fractional coordinates of all 12 atoms:
Cr 0.0000 0.0000 0.2304  4 Cr 2.42
Cr 0.0000 0.0000 0.7696  4 Cr 2.42
Cr 0.5000 0.5000 0.2696  4 Cr 2.42
Cr 0.5000 0.5000 0.7304  4 Cr 2.42
In 0.0000 0.0000 0.0593  5 In 3.05-3.37
In 0.0000 0.0000 0.9407  5 In 3.05-3.37
In 0.5000 0.5000 0.4407  5 In 3.05-3.37
In 0.5000 0.5000 0.5593  5 In 3.05-3.37
Sn 0.0000 0.0000 0.3361  5 Cr 2.87-3.00, 4 Sn 3.05
Sn 0.0000 0.0000 0.6639  5 Cr 2.87-3.00, 4 Sn 3.05
Sn 0.5000 0.5000 0.1639  5 Cr 2.87-3.00, 4 Sn 3.05
Sn 0.5000 0.5000 0.8361  5 Cr 2.87-3.00, 4 Sn 3.05

---

First-principles (PBE) data for a relaxed SrCr2In crystal, as listed in the Alexandria database.

Values from the calculation:
Space-group type ... No. 47

a b c (Å): 3.2834 4.1719 6.7569
angles (deg): 90.00 90.00 90.00
Closest atoms and distances in Å follow each position.
Fractional coordinates of all 4 atoms:
Sr 0.0000 0.0000 0.0000  2 Sr 3.28, 2 In 3.38, 8 Cr 3.61
Cr 0.5000 0.5000 0.3628  1 Cr 1.85
Cr 0.5000 0.5000 0.6372  1 Cr 1.85
In 0.0000 0.0000 0.5000  8 Cr 2.81

---

First-principles (PBE) data for a relaxed Sr2CrIn crystal, as listed in the Alexandria database.

Values from the calculation:
Space-group type ... No. 38

a b c (Å): 5.0352 4.4686 12.5117
angles (deg): 90.00 90.00 90.00
Closest atoms and distances in Å follow each position.
Fractional coordinates of all 8 atoms:
Sr 0.0000 0.0000 0.0000  3 In 3.45-3.63, 4 Cr 3.55
Sr 0.0000 0.5000 0.5000  3 In 3.45-3.63, 4 Cr 3.55
Sr 0.5000 0.0000 0.2950  3 Cr 3.39-3.70, 4 In 3.53
Sr 0.5000 0.5000 0.7950  3 Cr 3.39-3.70, 4 In 3.53
Cr 0.5000 0.0000 0.5908  2 In 2.93
Cr 0.5000 0.5000 0.0908  2 In 2.93
In 0.0000 0.0000 0.7099  2 Cr 2.93
In 0.0000 0.5000 0.2099  2 Cr 2.93

---

First-principles (PBE) data for a relaxed Sr2CrIn crystal, as listed in the Alexandria database.

Values from the calculation:
Space-group type ... No. 216

a b c (Å): 7.7838 7.7838 7.7838
angles (deg): 90.00 90.00 90.00
Closest atoms and distances in Å follow each position.
Fractional coordinates of all 16 atoms:
Sr 0.0000 0.0000 0.0000  4 Cr 3.37, 4 Sr 3.37
Sr 0.0000 0.5000 0.5000  4 Cr 3.37, 4 Sr 3.37
Sr 0.2500 0.2500 0.2500  4 In 3.37, 4 Sr 3.37
Sr 0.2500 0.7500 0.7500  4 In 3.37, 4 Sr 3.37
Sr 0.5000 0.0000 0.5000  4 Cr 3.37, 4 Sr 3.37
Sr 0.5000 0.5000 0.0000  4 Cr 3.37, 4 Sr 3.37
Sr 0.7500 0.2500 0.7500  4 In 3.37, 4 Sr 3.37
Sr 0.7500 0.7500 0.2500  4 In 3.37, 4 Sr 3.37
Cr 0.2500 0.2500 0.7500  4 In 3.37, 4 Sr 3.37
Cr 0.2500 0.7500 0.2500  4 In 3.37, 4 Sr 3.37
Cr 0.7500 0.2500 0.2500  4 In 3.37, 4 Sr 3.37
Cr 0.7500 0.7500 0.7500  4 In 3.37, 4 Sr 3.37
In 0.0000 0.0000 0.5000  4 Cr 3.37, 4 Sr 3.37
In 0.0000 0.5000 0.0000  4 Cr 3.37, 4 Sr 3.37
In 0.5000 0.0000 0.0000  4 Cr 3.37, 4 Sr 3.37
In 0.5000 0.5000 0.5000  4 Cr 3.37, 4 Sr 3.37

---

First-principles (PBE) data for a relaxed SrCr2In crystal, as listed in the Alexandria database.

Values from the calculation:
Space-group type ... No. 25

a b c (Å): 3.3137 3.3407 7.8981
angles (deg): 90.00 90.00 90.00
Closest atoms and distances in Å follow each position.
Fractional coordinates of all 4 atoms:
Sr 0.0000 0.0000 0.0000  4 Sr 3.31-3.34, 5 Cr 3.43-3.48, 4 In 3.47
Cr 0.0000 0.0000 0.4402  4 Cr 2.55
Cr 0.5000 0.5000 0.3160  4 Cr 2.55
In 0.5000 0.5000 0.6776  5 Cr 2.86-3.01

---

First-principles (PBE) data for a relaxed SrCr2In crystal, as listed in the Alexandria database.

Values from the calculation:
Space-group type ... No. 10

a b c (Å): 3.1405 4.9406 6.1444
angles (deg): 90.00 97.45 90.00
Closest atoms and distances in Å follow each position.
Fractional coordinates of all 4 atoms:
Sr 0.0000 0.0000 0.0000  2 Sr 3.14, 2 In 3.26
Cr 0.2841 0.5000 0.6219  2 Cr 2.15-2.18
Cr 0.7159 0.5000 0.3781  2 Cr 2.15-2.18
In 0.5000 0.0000 0.5000  4 Cr 2.69

---

First-principles (PBE) data for a relaxed SrCr2In crystal, as listed in the Alexandria database.

Values from the calculation:
Space-group type ... No. 123

a b c (Å): 4.7020 4.7020 4.2598
angles (deg): 90.00 90.00 90.00
Closest atoms and distances in Å follow each position.
Fractional coordinates of all 4 atoms:
Sr 0.0000 0.0000 0.0000  8 Cr 3.17, 4 In 3.32
Cr 0.0000 0.5000 0.5000  4 In 3.17, 4 Sr 3.17, 4 Cr 3.32
Cr 0.5000 0.0000 0.5000  4 In 3.17, 4 Sr 3.17, 4 Cr 3.32
In 0.5000 0.5000 0.0000  8 Cr 3.17, 4 Sr 3.32

---

First-principles (PBE) data for a relaxed SrCr2In crystal, as listed in the Alexandria database.

Values from the calculation:
Space-group type ... No. 166

a b c (Å): 3.4538 3.4538 29.5519
angles (deg): 90.00 90.00 120.00
Closest atoms and distances in Å follow each position.
Fractional coordinates of all 12 atoms:
Sr 0.0000 0.0000 0.0000  6 Cr 3.42, 6 Sr 3.45
Sr 0.3333 0.6667 0.6667  6 Cr 3.42, 6 Sr 3.45
Sr 0.6667 0.3333 0.3333  6 Cr 3.42, 6 Sr 3.45
Cr 0.0000 0.0000 0.2393  3 In 2.93
Cr 0.0000 0.0000 0.7607  3 In 2.93
Cr 0.3333 0.6667 0.4273  3 In 2.93
Cr 0.3333 0.6667 0.9060  3 In 2.93
Cr 0.6667 0.3333 0.0940  3 In 2.93
Cr 0.6667 0.3333 0.5727  3 In 2.93
In 0.0000 0.0000 0.5000  6 Cr 2.93
In 0.3333 0.6667 0.1667  6 Cr 2.93
In 0.6667 0.3333 0.8333  6 Cr 2.93

---

no.,calculated volume (Å³ per atom),magnetic moment (μB/f.u.),calculated formation energy (eV per atom)
1,28.001,2.61,0.4810
2,25.025,3.87,0.3634
3,25.922,3.79,0.2880
4,23.789,3.54,0.2750
5,21.965,0.00,0.1967
6,23.140,0.00,0.6321
7,35.190,4.66,0.1412
8,29.475,4.82,0.1994
9,21.858,0.66,0.2860
10,23.633,0.00,0.7025
11,23.544,7.70,0.6622
12,25.440,8.22,0.8630